Density functional theory data (PBE) for crystalline Sm4SiN at its relaxed geometry.

The structure in extended XYZ format:
```
12
Lattice="-2.3816 -0.8047 4.2413 -3.6358 -4.9006 -2.9714 7.4111 -5.6357 0.2266" Properties=species:S:1:pos:R:3 pbc="T T T"
Sm 3.3609 -3.8805 1.1509
Sm 0.5617 -2.6828 2.6720
Si 0.5889 -3.4476 -0.3235
Sm -2.3430 -2.8454 1.0101
Si 0.1419 -8.7869 1.2781
Sm -1.6820 -4.7991 -1.8551
Sm 2.1502 -6.8815 -0.0983
Sm 2.9814 -6.6692 3.2744
Sm -0.6824 -5.7289 1.3955
Sm 2.4826 -10.1862 -0.5387
N -2.8373 -5.2506 0.2761
N 4.1240 -6.2348 1.1328
```

Computed properties:
- Crystal system: orthorhombic
- E_form (uncorrected): -3.7 eV per formula unit

Density functional theory data (PBE) for crystalline Sm4Si2N at its relaxed geometry.

The structure in extended XYZ format:
```
7
Lattice="4.7398 0.0000 0.0000 0.0000 4.7398 0.0000 2.3699 2.3699 7.6658" Properties=species:S:1:pos:R:3 pbc="T T T"
N 0.0000 0.0000 0.0000
Sm 2.3699 2.3699 2.7495
Sm 2.3699 0.0000 0.0000
Sm 0.0000 2.3699 0.0000
Si 4.7398 4.7398 1.9692
Sm 4.7398 4.7398 4.9163
Si 2.3699 2.3699 5.6966
```

Computed properties:
- Crystal system: tetragonal
- Excess energy over the best structure of this formula in the dataset: 2.62 eV/f.u.
- E_form (uncorrected): -3.1 eV per formula unit

Density functional theory data (PBE) for crystalline Sm3Si2N6 at its relaxed geometry.

The structure in extended XYZ format:
```
11
Lattice="-0.4956 -3.1179 -1.8980 3.5649 -0.0018 -0.9279 0.5761 -3.7179 9.5319" Properties=species:S:1:pos:R:3 pbc="T T T"
N 2.3591 -3.6214 1.7584
Si 1.6634 -4.1593 6.3984
N 0.1140 -2.4635 0.4425
Sm 2.8723 -4.9045 3.7323
N 1.2862 -3.2162 4.9476
N 2.1442 -0.9055 0.9276
Sm 0.7731 -1.9331 2.9737
N 1.5012 -5.9322 5.7784
Sm 0.0000 0.0000 0.0000
Si 1.9819 -2.6783 0.3076
N 3.5314 -4.3741 6.2635
```

Computed properties:
- Crystal system: tetragonal
- E_form (uncorrected): -12.4 eV per formula unit

Density functional theory data (PBE) for crystalline Sm2SiN3 at its relaxed geometry.

The structure in extended XYZ format:
```
24
Lattice="-0.8896 4.6320 -2.4813 -5.6552 1.7877 -0.3588 1.0652 6.0233 9.9019" Properties=species:S:1:pos:R:3 pbc="T T T"
Sm -3.3469 10.7070 5.8738
N -2.1705 3.9726 -0.0717
N -1.0948 6.7081 3.6518
Sm -4.7036 8.0183 1.8436
N -3.9135 9.1146 3.9485
Si 0.0445 7.4418 4.7771
Sm -0.8462 9.0060 7.5478
Si 0.6454 6.2232 7.5975
N -5.2152 3.3112 2.0873
N -5.2945 5.6858 -1.9945
Si -6.1249 6.2198 -0.5358
N -4.3848 5.7349 3.4100
Si -5.5240 5.0011 2.2846
N -0.4438 6.7526 6.3208
Sm -2.1327 1.7359 1.1879
N -3.3091 8.4704 7.1334
N -1.5661 3.3284 3.1133
Sm -3.1015 6.9564 5.0770
Sm -4.6334 3.4370 -0.4860
N -0.2644 9.1318 4.9745
Sm -0.7760 4.4247 5.2181
Sm -2.3781 5.4866 1.9847
N -0.1851 6.7572 9.0562
N -5.0358 5.6904 0.7409
```

Computed properties:
- Crystal system: monoclinic
- Excess energy over the best structure of this formula in the dataset: 0.00 eV/f.u.
- E_form (uncorrected): -7.8 eV per formula unit

Density functional theory data (PBE) for crystalline Sm12Si3N5 at its relaxed geometry.

The structure in extended XYZ format:
```
80
Lattice="-3.5932 12.8484 -2.1573 -10.1272 -6.5462 6.1020 10.9792 -0.3462 7.8730" Properties=species:S:1:pos:R:3 pbc="T T T"
N -1.5021 -0.9353 3.9868
Sm -4.5183 2.2386 2.3300
Sm 3.0597 -0.1357 4.6707
Si 2.3790 -1.1821 10.1633
N 5.6211 3.7403 5.8585
Sm 0.0835 -0.1450 2.5332
Sm -2.8247 6.1011 9.2845
Sm -1.8229 -3.2855 8.1543
Sm 3.9466 7.8279 7.4089
Si -9.3671 6.2895 3.6730
Sm -0.9183 9.2416 3.6634
Sm -3.8560 3.4645 5.7326
Si -0.6603 6.2639 3.1296
Sm -4.5519 1.0091 10.0559
Si -1.6651 10.3376 0.8434
N 0.0000 0.0000 0.0000
Sm 9.1186 1.3809 7.8877
N -4.9072 5.4152 5.1482
Sm -6.6878 -1.8718 4.4088
Si -1.0761 -4.3815 10.9743
Sm -0.7579 5.4317 6.1311
N -1.7966 6.4242 -1.0786
Sm -8.9365 4.4275 6.1345
Sm 4.7990 -2.6506 8.8600
Sm -5.2730 -4.9360 8.3469
Sm -0.1970 7.7153 0.4111
Si 1.9530 2.2640 3.1758
Sm -7.5402 8.6067 2.9577
Sm 1.8107 4.9470 1.7618
Sm 6.1953 1.5286 5.6832
Sm 0.7560 -1.0055 7.6034
Sm -5.8009 6.0918 7.1469
Sm -4.1446 9.9579 2.5540
Sm 1.7771 3.7175 9.4877
N -1.3706 2.9780 5.9088
Si -4.9322 0.6403 4.9730
Sm 0.7351 -2.3184 12.4490
Sm -6.6059 1.6244 7.3072
N 3.6930 6.2511 2.8579
N -1.2391 6.8914 7.8309
Sm -11.8598 4.5752 3.9300
N -8.3623 2.2158 5.9592
Sm 1.4034 -4.0018 9.2636
Sm -2.6580 5.3285 1.0433
N -3.9274 -3.4334 7.2592
Sm -1.7508 2.6969 8.4031
Sm -3.5570 -1.2301 3.0162
Sm 3.8647 4.3317 4.5105
N 1.1862 9.3895 4.5585
N 5.6460 8.5152 6.0337
Si 6.6259 -0.3334 8.1447
N -0.2343 2.8177 10.1170
Sm -0.9904 3.2592 3.4146
Sm 2.5318 10.8921 3.4708
Si -5.1202 7.1382 1.6544
Si -2.0809 -0.3078 8.6881
Sm 1.1148 2.4916 6.0851
N -6.8602 3.1511 1.9724
Sm 5.5593 10.7491 5.5301
Sm -7.5824 1.6423 3.8820
Sm 0.8158 7.1862 8.8015
Si 2.1910 5.3158 6.8447
Sm 3.7335 0.8134 8.3189
Sm -3.4763 8.2745 -0.6314
N 0.4260 -3.4462 6.9875
Sm -8.3005 -4.7930 6.2876
Sm -4.6665 -1.2702 7.4206
Si -4.6942 3.6921 8.6419
N 5.4896 -0.1731 3.9365
Sm -1.9833 0.5244 5.6866
N -2.5069 3.1383 1.7006
Sm -6.4747 5.1427 3.4988
N -5.0636 -3.2731 3.0510
Sm -0.0832 0.6276 10.7744
Sm -3.4972 6.9616 4.2143
Sm 4.8412 4.3138 7.9357
Sm -2.5442 -1.7592 11.4066
Sm 1.9253 7.2263 4.3971
N -8.3872 -2.5591 5.7840
N 2.1660 0.5409 6.6695
```

Computed properties:
- Crystal system: cubic
- E_form (uncorrected): -17.6 eV per formula unit

Density functional theory data (PBE) for crystalline Sm7Si2N2 at its relaxed geometry.

The structure in extended XYZ format:
```
11
Lattice="-3.3776 5.4570 1.8774 -5.5390 -1.9139 -2.4396 0.1924 -4.6953 4.7569" Properties=species:S:1:pos:R:3 pbc="T T T"
Sm -3.1151 0.5794 2.5634
Si -3.2850 -0.8337 -0.1459
Sm 0.0000 0.0000 0.0000
Sm -1.4330 -2.4622 1.9365
Sm -5.6091 -1.7317 1.6314
Sm -5.9140 0.9807 -0.6101
Sm -7.2912 1.3100 2.2583
Si -5.4391 -0.3186 4.3407
N -2.7640 3.0681 2.4463
Sm -2.8102 -2.1329 4.8049
N -5.9602 -4.2203 1.7485
```

Computed properties:
- Crystal system: monoclinic
- E_form (uncorrected): -6.2 eV per formula unit

Density functional theory data (PBE) for crystalline SrSmSiN3 at its relaxed geometry.

The structure in extended XYZ format:
```
12
Lattice="-0.1797 0.0082 3.8306 1.0816 -6.3085 -1.8553 6.6313 3.1448 0.3043" Properties=species:S:1:pos:R:3 pbc="T T T"
Sm 3.4982 -3.0790 0.1707
N 5.6316 0.7282 0.2626
N 4.9963 -2.3185 2.1589
N 5.7755 -3.9827 0.2794
N 2.5370 -0.8370 0.1208
Si 5.7569 -3.9594 2.1980
Sr 0.6798 -1.6330 1.9549
Si 1.7764 0.8040 0.0816
N 1.9016 -3.8837 2.0171
Sm 4.0350 -0.0765 2.1090
Sr 6.8535 -1.5224 0.3247
N 1.7577 0.8273 2.0002
```

Computed properties:
- Crystal system: monoclinic
- E_form (uncorrected): -5.3 eV per formula unit

Density functional theory data (PBE) for crystalline Tb2SmSiN4 at its relaxed geometry.

The structure in extended XYZ format:
```
16
Lattice="3.3928 0.0000 0.0000 -1.6964 5.7463 0.0000 0.0000 0.0000 11.6352" Properties=species:S:1:pos:R:3 pbc="T T T"
Si 0.0000 2.0301 2.9088
N 1.6964 2.6597 10.1002
Tb 0.0000 4.2322 6.3107
Tb 0.0000 4.2322 11.1420
N 0.0000 3.0866 4.2827
N 0.0000 3.0866 1.5349
Sm 0.0000 1.0355 8.7264
N 1.6964 2.6597 7.3525
N 0.0000 0.0000 0.0000
Tb 1.6964 1.5140 0.4931
Tb 1.6964 1.5140 5.3244
Si 1.6964 3.7162 8.7264
N 0.0000 4.6797 8.7264
N 1.6964 1.0666 2.9088
N 0.0000 0.0000 5.8176
Sm 1.6964 4.7108 2.9088
```

Computed properties:
- Crystal system: orthorhombic
- E_form (uncorrected): -10.4 eV per formula unit

Density functional theory data (PBE) for crystalline SmZn2SiN4 at its relaxed geometry.

The structure in extended XYZ format:
```
8
Lattice="-3.3152 -4.0711 -0.0067 -0.5575 -2.9245 -4.1363 1.1145 -4.2970 2.5031" Properties=species:S:1:pos:R:3 pbc="T T T"
Sm 1.1145 -4.2970 2.5030
Zn -0.9611 -5.9894 0.8398
N -3.3766 -6.0687 -1.4146
N -0.9091 -3.9812 0.4164
Zn -1.7971 -5.3031 -2.4798
Si 0.2785 -3.6107 -0.8166
N 0.1583 -4.8462 -2.0521
N -1.3890 -7.6891 -0.2293
```

Computed properties:
- Crystal system: tetragonal
- E_form (uncorrected): -4.8 eV per formula unit

Density functional theory data (PBE) for crystalline SiSnN2 at its relaxed geometry.

The structure in extended XYZ format:
```
4
Lattice="0.0000 2.8554 2.8554 2.8554 0.0000 2.8554 2.8554 2.8554 0.0000" Properties=species:S:1:pos:R:3 pbc="T T T"
Sn 2.8554 2.8554 2.8554
Si 0.0000 0.0000 0.0000
N 1.4277 1.4277 1.4277
N 4.2830 4.2830 4.2830
```

Computed properties:
- Crystal system: cubic
- Excess energy over the best structure of this formula in the dataset: 6.32 eV/f.u.
- E_form (uncorrected): 5.3 eV per formula unit

Density functional theory data (PBE) for crystalline Si2SnN at its relaxed geometry.

The structure in extended XYZ format:
```
4
Lattice="0.0000 3.1778 3.1778 3.1778 0.0000 3.1778 3.1778 3.1778 0.0000" Properties=species:S:1:pos:R:3 pbc="T T T"
Sn 3.1778 3.1778 3.1778
N 0.0000 0.0000 0.0000
Si 4.7667 4.7667 4.7667
Si 1.5889 1.5889 1.5889
```

Computed properties:
- Crystal system: cubic
- Excess energy over the best structure of this formula in the dataset: 4.33 eV/f.u.
- E_form (uncorrected): 5.5 eV per formula unit

Density functional theory data (PBE) for crystalline SiSnN2 at its relaxed geometry.

The structure in extended XYZ format:
```
4
Lattice="-3.2329 3.1768 4.5079 -1.7200 1.1685 6.0450 -0.4155 3.6767 5.2130" Properties=species:S:1:pos:R:3 pbc="T T T"
Sn 0.0000 0.0000 0.0000
N -4.7454 7.0909 13.9359
Si -2.6843 4.0110 7.8829
N -0.6231 0.9311 1.8299
```

Computed properties:
- Crystal system: trigonal
- Excess energy over the best structure of this formula in the dataset: 0.28 eV/f.u.
- E_form (uncorrected): -0.7 eV per formula unit